No. 1
Material: SmMg4Sn2
Method: DFT, PBE-GGA
State: relaxed

Computed properties:
D(E_F)   4.7 states/eV/cell
Size of the total moment   0.000 μB per formula unit
Electronic total energy   -3.03 eV per atom
Energy of formation from the pure elements   -0.304 eV/atom

Cell lengths 4.602, 8.687, 8.687 Å; angles 90.00, 90.00, 90.00 degrees
Fractional positions:
Mg (0.000, 0.353, 0.098)
Mg (0.500, 0.147, 0.598)
Mg (0.500, 0.853, 0.402)
Sm (0.500, 0.000, 0.000)
Mg (0.500, 0.402, 0.853)
Sn (0.000, 0.801, 0.199)
Sn (0.500, 0.301, 0.301)
Mg (0.000, 0.098, 0.353)
Sm (0.000, 0.500, 0.500)
Mg (0.500, 0.598, 0.147)
Sn (0.000, 0.199, 0.801)
Mg (0.000, 0.647, 0.902)
Mg (0.000, 0.902, 0.647)
Sn (0.500, 0.699, 0.699)


No. 2
Material: Sm3MgSn2
Method: DFT, PBE-GGA
State: relaxed

Computed properties:
D(E_F)   15.0 states/eV/cell
Size of the total moment   1.267 μB per formula unit
Electronic total energy   -4.47 eV per atom
Energy of formation from the pure elements   -0.507 eV/atom

Cell lengths 6.507, 6.398, 9.571 Å; angles 109.53, 109.87, 90.00 degrees
Fractional positions:
Sm (0.578, 0.324, 0.647)
Sn (0.888, 0.634, 0.268)
Sm (0.500, 0.250, 0.000)
Sm (0.070, 0.824, 0.647)
Sm (0.422, 0.676, 0.353)
Mg (0.000, 0.250, 0.000)
Sn (0.620, 0.866, 0.732)
Mg (0.000, 0.750, 0.000)
Sn (0.380, 0.134, 0.268)
Sm (0.500, 0.750, 0.000)
Sm (0.930, 0.176, 0.353)
Sn (0.112, 0.366, 0.732)


Question: What is the D(E_F) in the first record?
Answer: 4.7 states/eV/cell